# 1
First-principles (PBE) data for an optimized crystal structure of Pm6Sn3N, as listed in the Alexandria database.

POSCAR file:
```
Pm6Sn3N
1.0
6.5189 0.0000 0.1844
0.0000 8.3574 0.0000
0.3157 0.0000 10.5377
Pm Sn N
12 6 2
Direct
0.6702 0.1470 0.9529
0.6194 0.2246 0.5540
0.6334 0.4506 0.2718
0.3666 0.5494 0.7282
0.3806 0.7754 0.4460
0.3298 0.8530 0.0471
0.1702 0.3530 0.4529
0.1194 0.2754 0.0540
0.1334 0.0494 0.7718
0.8666 0.9506 0.2282
0.8806 0.7246 0.9460
0.8298 0.6470 0.5471
0.5895 0.8959 0.7373
0.5000 0.5000 0.0000
0.4105 0.1041 0.2627
0.0895 0.6041 0.2373
0.0000 0.0000 0.5000
0.9105 0.3959 0.7627
0.5000 0.5000 0.5000
0.0000 0.0000 0.0000
```

## Properties
**Calculated volume**: 573.6 Å³ per cell
**Raw formation energy**: -0.7123 eV/atom
**SG**: P2_1/c (14)
**N(E_F)**: 0.83 states/eV/atom

=====

# 2
First-principles (PBE) data for an optimized crystal structure of Cd3TeCl, as listed in the Alexandria database.

POSCAR file:
```
Cd3TeCl
1.0
5.3830 0.0000 0.0000
0.0000 5.3830 0.0000
0.0000 0.0000 5.3830
Cl Te Cd
1 1 3
Direct
0.0000 0.0000 0.0000
0.5000 0.5000 0.5000
0.0000 0.5000 0.0000
0.0000 0.0000 0.5000
0.5000 0.0000 0.0000
```

## Properties
**Calculated volume**: 156.0 Å³ per cell
**Raw formation energy**: 0.2003 eV/atom
**SG**: Pm-3m (221)
**N(E_F)**: 0.57 states/eV/atom

=====

# 3
First-principles (PBE) data for an optimized crystal structure of SrGa2Rh, as listed in the Alexandria database.

POSCAR file:
```
SrGa2Rh
1.0
4.3031 0.0000 0.0000
0.0000 6.1464 0.0000
0.0000 0.0000 6.6914
Sr Ga Rh
2 4 2
Direct
0.5000 0.8979 0.0000
0.0000 0.1021 0.5000
0.0000 0.6253 0.7106
0.5000 0.3747 0.7894
0.0000 0.6253 0.2894
0.5000 0.3747 0.2106
0.5000 0.6492 0.5000
0.0000 0.3508 0.0000
```

## Properties
**Calculated volume**: 177.0 Å³ per cell
**SG**: Pmmn (59)
**N(E_F)**: 0.57 states/eV/atom
**Energy of formation from the pure elements**: -2.319 eV per formula unit

=====

# 4
First-principles (PBE) data for an optimized crystal structure of Ce8HOs3Br4, as listed in the Alexandria database.

POSCAR file:
```
Ce8HOs3Br4
1.0
7.9883 0.0000 0.0000
0.0000 8.9328 0.6524
-3.9942 -3.9833 5.6555
Ce H Os Br
8 1 3 4
Direct
0.2302 0.6983 0.9681
0.2302 0.6983 0.4605
0.2678 0.3035 0.5356
0.7379 0.6983 0.9681
0.2621 0.3017 0.0319
0.7322 0.6965 0.4644
0.7698 0.3017 0.5395
0.7698 0.3017 0.0319
0.0000 0.5000 0.0000
0.5000 0.5000 0.0000
0.5000 0.5000 0.5000
0.0000 0.5000 0.5000
0.5000 0.0000 0.0000
0.5000 0.0000 0.5000
0.0000 0.0000 0.0000
0.0000 0.0000 0.5000
```

## Properties
**Calculated volume**: 424.3 Å³ per cell
**SG**: R-3m (166)
**N(E_F)**: 2.52 states/eV/atom
**Raw total energy**: -102.86 eV/cell

=====

# 5
First-principles (PBE) data for an optimized crystal structure of Dy2Y6ErTm, as listed in the Alexandria database.

POSCAR file:
```
Dy2Y6ErTm
1.0
9.1493 -2.0484 -2.1258
0.7185 8.4846 -1.9709
0.7185 -2.2840 8.4057
Dy Y Er Tm
4 12 2 2
Direct
0.4549 0.8046 0.7027
0.0451 0.2973 0.1954
0.5451 0.1954 0.2973
0.9549 0.7027 0.8046
0.0560 0.1230 0.7528
0.4440 0.2472 0.8770
0.9440 0.8770 0.2472
0.5560 0.7528 0.1230
0.3151 0.9831 0.4280
0.1849 0.5720 0.0169
0.6849 0.0169 0.5720
0.8151 0.4280 0.9831
0.1188 0.7079 0.4976
0.3812 0.5024 0.2921
0.8812 0.2921 0.5024
0.6188 0.4976 0.7079
0.2500 0.4080 0.5920
0.7500 0.5920 0.4080
0.2500 0.9778 0.0222
0.7500 0.0222 0.9778
```

## Properties
**Calculated volume**: 643.0 Å³ per cell
**SG**: C2/c (15)
**N(E_F)**: 1.47 states/eV/atom
**Energy of formation from the pure elements**: 1.181 eV per formula unit

=====

# 6
First-principles (PBE) data for an optimized crystal structure of Nd8Cd2Au, as listed in the Alexandria database.

POSCAR file:
```
Nd8Cd2Au
1.0
-4.5327 0.1239 2.8718
2.9916 -4.1102 4.8992
4.3238 8.6208 1.4368
Nd Cd Au
8 2 1
Direct
0.4083 0.5481 0.8166
0.6575 0.9638 0.3150
0.7978 0.6996 0.5956
0.9808 0.2313 0.9615
0.2022 0.3004 0.4044
0.3425 0.0362 0.6850
0.5917 0.4519 0.1834
0.0192 0.7687 0.0385
0.8131 0.2680 0.6262
0.1869 0.7320 0.3738
0.5000 0.0000 0.0000
```

## Properties
**Calculated volume**: 345.4 Å³ per cell
**SG**: C2/m (12)
**N(E_F)**: 1.08 states/eV/atom
**Energy of formation from the pure elements**: -2.286 eV per formula unit

=====

Number 1: spin magnetization 0.001 Bohr magnetons per cell. Number 2: spin magnetization 0.000 Bohr magnetons per cell. Number 3: spin magnetization 0.000 Bohr magnetons per cell. Number 4: spin magnetization 7.147 Bohr magnetons per cell. Number 5: spin magnetization 0.000 Bohr magnetons per cell. Number 6: spin magnetization 0.000 Bohr magnetons per cell.